1.
# CrSbOs3, relaxed, DFT PBE-GGA
# Uncorrected formation energy, eV per atom: 1.583
# V, Å³ per cell: 92
# Size of the total moment, μB/atom: 0.000
data_CrSbOs3
_chemical_formula_sum 'Cr1 Sb1 Os3'
_cell_length_a 4.509
_cell_length_b 4.509
_cell_length_c 4.509
_cell_angle_alpha 90.00
_cell_angle_beta 90.00
_cell_angle_gamma 90.00
_symmetry_space_group_name_H-M 'P m -3 m'
_symmetry_Int_Tables_number 221
_symmetry_space_group_name_Hall '-P 4 2 3'
loop_
_atom_site_label
_atom_site_type_symbol
_atom_site_fract_x
_atom_site_fract_y
_atom_site_fract_z
Cr1 Cr 0.000 0.000 0.000
Sb1 Sb 0.500 0.500 0.500
Os1 Os 0.000 0.000 0.500


2.
# CrSbOs2, relaxed, DFT PBE-GGA
# Uncorrected formation energy, eV per atom: 0.383
# V, Å³ per cell: 125
# Size of the total moment, μB/atom: 0.455
data_CrSbOs2
_chemical_formula_sum 'Cr2 Sb2 Os4'
_cell_length_a 8.912
_cell_length_b 2.918
_cell_length_c 4.874
_cell_angle_alpha 90.00
_cell_angle_beta 100.35
_cell_angle_gamma 90.00
_symmetry_space_group_name_H-M 'C 1 2/m 1'
_symmetry_Int_Tables_number 12
loop_
_symmetry_equiv_pos_as_xyz
'x,y,z'
'-x,-y,-z'
'-x,y,-z'
'x,-y,z'
'x+1/2,y+1/2,z'
'-x+1/2,-y+1/2,-z'
'-x+1/2,y+1/2,-z'
'x+1/2,-y+1/2,z'
loop_
_atom_site_label
_atom_site_type_symbol
_atom_site_fract_x
_atom_site_fract_y
_atom_site_fract_z
Cr1 Cr 0.000 0.000 0.000
Sb1 Sb 0.000 0.500 0.500
Os1 Os 0.236 0.500 0.222


3.
# CrSbOs2, relaxed, DFT PBE-GGA
# Uncorrected formation energy, eV per atom: 0.569
# V, Å³ per cell: 189
# Size of the total moment, μB/atom: 0.301
data_CrSbOs2
_chemical_formula_sum 'Cr3 Sb3 Os6'
_cell_length_a 2.9284
_cell_length_b 2.9284
_cell_length_c 25.4864
_cell_angle_alpha 90.00
_cell_angle_beta 90.00
_cell_angle_gamma 120.00
_symmetry_space_group_name_H-M 'R -3 m'
_symmetry_Int_Tables_number 166
_symmetry_space_group_name_Hall '-R 3 2"'
loop_
_atom_site_label
_atom_site_type_symbol
_atom_site_fract_x
_atom_site_fract_y
_atom_site_fract_z
Cr1 Cr 0.0000 0.0000 0.0000
Sb1 Sb 0.0000 0.0000 0.5000
Os1 Os 0.0000 0.0000 0.2569